Computed, not measured: NpFeRhO6 after structural relaxation at the GGA+U level of DFT.

```
NpFeRhO6
1.0
5.1533 0.0000 0.0000
-2.5766 4.4629 0.0000
0.0000 0.0000 8.8227
Np Fe Rh O
2 2 2 12
Direct
0.6667 0.3333 0.2500
0.3333 0.6667 0.7500
0.3333 0.6667 0.2500
0.6667 0.3333 0.7500
0.0000 0.0000 0.0000
0.0000 0.0000 0.5000
0.6569 0.6722 0.1277
0.0153 0.3431 0.1277
0.3431 0.0153 0.6277
0.9847 0.6569 0.8723
0.3278 0.3431 0.3723
0.0153 0.6722 0.3723
0.6722 0.0153 0.8723
0.6569 0.9847 0.3723
0.9847 0.3278 0.6277
0.3278 0.9847 0.1277
0.6722 0.6569 0.6277
0.3431 0.3278 0.8723
```

VASP energy ... -7.7640 eV/atom